Arrangement A

Below is crystalline PuGaFeTc at its relaxed geometry, with properties calculated at the PBE-GGA level.

POSCAR file:
```
PuGaFeTc
1.0
2.087 1.205 4.839
-2.087 1.205 4.839
0.000 -2.410 4.839
Pu Ga Fe Tc
1 1 1 1
Cartesian
0.000 0.000 0.000 Pu
0.000 0.000 11.474 Ga
0.000 0.000 2.847 Fe
0.000 0.000 7.703 Tc
```

---

Arrangement B

Below is crystalline PuGaFeTc at its relaxed geometry, with properties calculated at the PBE-GGA level.

POSCAR file:
```
PuGaFeTc
1.0
0.000 3.163 3.163
3.163 0.000 3.163
3.163 3.163 0.000
Pu Ga Fe Tc
1 1 1 1
Cartesian
0.000 0.000 0.000 Pu
3.163 3.163 3.163 Ga
4.745 4.745 4.745 Fe
1.582 1.582 1.582 Tc
```

---

Stability check: which of them is most stable? arrangement B.

---

Arrangement A

Below is crystalline RbGaFe3 at its relaxed geometry, with properties calculated at the PBE-GGA level.

POSCAR file:
```
RbGaFe3
1.0
4.606 0.000 0.000
0.000 4.606 0.000
0.000 0.000 4.606
Rb Ga Fe
1 1 3
Cartesian
0.000 0.000 0.000 Rb
2.303 2.303 2.303 Ga
0.000 0.000 2.303 Fe
0.000 2.303 0.000 Fe
2.303 0.000 0.000 Fe
```

---

Arrangement B

Below is crystalline RbGaFe3 at its relaxed geometry, with properties calculated at the PBE-GGA level.

POSCAR file:
```
RbGaFe3
1.0
4.808 0.000 0.000
0.000 4.808 0.000
0.000 0.000 4.808
Rb Ga Fe
1 1 3
Cartesian
0.000 0.000 0.000 Rb
2.404 2.404 2.404 Ga
0.000 2.404 2.404 Fe
2.404 0.000 2.404 Fe
2.404 2.404 0.000 Fe
```

---

Stability check: which of them is most stable? arrangement B.

---

Arrangement A

Below is crystalline GaFe3Re at its relaxed geometry, with properties calculated at the PBE-GGA level.

POSCAR file:
```
GaFe3Re
1.0
4.160 0.000 0.000
0.000 4.160 0.000
0.000 0.000 4.160
Ga Fe Re
1 3 1
Cartesian
0.000 0.000 0.000 Ga
0.000 0.000 2.080 Fe
0.000 2.080 0.000 Fe
2.080 0.000 0.000 Fe
2.080 2.080 2.080 Re
```

---

Arrangement B

Below is crystalline GaFe3Re at its relaxed geometry, with properties calculated at the PBE-GGA level.

POSCAR file:
```
GaFe3Re
1.0
4.518 0.000 0.000
0.000 4.518 0.000
0.000 0.000 4.518
Ga Fe Re
1 3 1
Cartesian
0.000 0.000 0.000 Ga
0.000 2.259 2.259 Fe
2.259 0.000 2.259 Fe
2.259 2.259 0.000 Fe
2.259 2.259 2.259 Re
```

---

Stability check: which of them is most stable? arrangement B.

---

Arrangement A

Below is crystalline Ga2FeRh4 at its relaxed geometry, with properties calculated at the PBE-GGA level.

POSCAR file:
```
Ga2FeRh4
1.0
-2.946 2.946 2.996
2.946 -2.946 2.996
2.946 2.946 -2.996
Ga Fe Rh
2 1 4
Cartesian
2.946 0.000 0.000 Ga
0.000 2.946 0.000 Ga
0.000 0.000 0.000 Fe
1.473 1.473 -1.498 Rh
1.473 -1.473 1.498 Rh
-1.473 1.473 1.498 Rh
1.473 1.473 1.498 Rh
```

---

Arrangement B

Below is crystalline Ga2FeRh4 at its relaxed geometry, with properties calculated at the PBE-GGA level.

POSCAR file:
```
Ga2FeRh4
1.0
-2.236 2.236 6.216
2.236 -2.236 6.216
2.236 2.236 -6.216
Ga Fe Rh
2 1 4
Cartesian
0.000 0.000 1.476 Ga
0.000 0.000 10.957 Ga
0.000 0.000 6.216 Fe
2.236 0.000 0.000 Rh
0.000 0.000 3.889 Rh
0.000 2.236 0.000 Rh
0.000 0.000 8.544 Rh
```

---

Stability check: which of them is most stable? arrangement A.

---

Arrangement A

Below is crystalline Ga3FeS at its relaxed geometry, with properties calculated at the PBE-GGA level.

POSCAR file:
```
Ga3FeS
1.0
4.611 0.000 0.000
0.000 4.611 0.000
0.000 0.000 4.611
Ga Fe S
3 1 1
Cartesian
0.000 0.000 2.305 Ga
0.000 2.305 0.000 Ga
2.305 0.000 0.000 Ga
0.000 0.000 0.000 Fe
2.305 2.305 2.305 S
```

---

Arrangement B

Below is crystalline Ga3FeS at its relaxed geometry, with properties calculated at the PBE-GGA level.

POSCAR file:
```
Ga3FeS
1.0
4.656 0.000 0.000
0.000 4.656 0.000
0.000 0.000 4.656
Ga Fe S
3 1 1
Cartesian
0.000 0.000 2.328 Ga
0.000 2.328 0.000 Ga
2.328 0.000 0.000 Ga
2.328 2.328 2.328 Fe
0.000 0.000 0.000 S
```

---

Stability check: which of them is most stable? arrangement A.

---

Arrangement A

Below is crystalline GaFeSbTe2 at its relaxed geometry, with properties calculated at the PBE-GGA level.

POSCAR file:
```
GaFeSbTe2
1.0
5.273 0.000 0.000
0.000 5.273 0.000
0.000 0.000 4.759
Ga Fe Sb Te
1 1 1 2
Cartesian
0.000 0.000 0.000 Ga
2.637 2.637 2.380 Fe
2.637 2.637 0.000 Sb
0.000 2.637 2.380 Te
2.637 0.000 2.380 Te
```

---

Arrangement B

Below is crystalline GaFeSbTe2 at its relaxed geometry, with properties calculated at the PBE-GGA level.

POSCAR file:
```
GaFeSbTe2
1.0
5.400 0.000 0.000
0.000 5.400 0.000
0.000 0.000 5.179
Ga Fe Sb Te
1 1 1 2
Cartesian
0.000 0.000 0.000 Ga
2.700 2.700 2.590 Fe
0.000 0.000 2.590 Sb
0.000 2.700 0.000 Te
2.700 0.000 0.000 Te
```

---

Stability check: which of them is most stable? arrangement A.

---

Arrangement A

Below is crystalline ScGa2Fe2 at its relaxed geometry, with properties calculated at the PBE-GGA level.

POSCAR file:
```
ScGa2Fe2
1.0
7.115 0.000 0.000
0.000 7.115 0.000
0.000 0.000 2.830
Sc Ga Fe
2 4 4
Cartesian
0.000 0.000 0.000 Sc
3.558 3.558 0.000 Sc
0.920 2.638 0.000 Ga
2.638 6.195 0.000 Ga
4.478 0.920 0.000 Ga
6.195 4.478 0.000 Ga
1.197 4.754 1.415 Fe
2.361 1.197 1.415 Fe
4.754 5.919 1.415 Fe
5.919 2.361 1.415 Fe
```

---

Arrangement B

Below is crystalline ScGa2Fe2 at its relaxed geometry, with properties calculated at the PBE-GGA level.

POSCAR file:
```
ScGa2Fe2
1.0
-2.040 2.040 4.680
2.040 -2.040 4.680
2.040 2.040 -4.680
Sc Ga Fe
1 2 2
Cartesian
0.000 0.000 0.000 Sc
2.040 0.000 2.340 Ga
0.000 2.040 2.340 Ga
0.000 0.000 3.663 Fe
0.000 0.000 5.698 Fe
```

---

Arrangement C

Below is crystalline ScGa2Fe2 at its relaxed geometry, with properties calculated at the PBE-GGA level.

POSCAR file:
```
ScGa2Fe2
1.0
-1.840 1.840 5.694
1.840 -1.840 5.694
1.840 1.840 -5.694
Sc Ga Fe
1 2 2
Cartesian
0.000 0.000 0.000 Sc
0.000 0.000 4.453 Ga
0.000 0.000 6.936 Ga
1.840 0.000 2.847 Fe
0.000 1.840 2.847 Fe
```

---

Stability check: which of them is most stable? arrangement C.

---

Arrangement A

Below is crystalline ScGa3Fe at its relaxed geometry, with properties calculated at the PBE-GGA level.

POSCAR file:
```
ScGa3Fe
1.0
2.657 -5.917 0.000
2.657 5.917 0.000
0.000 0.000 5.251
Sc Ga Fe
2 6 2
Cartesian
2.657 4.932 3.938 Sc
2.657 -4.932 1.313 Sc
1.320 1.619 3.938 Ga
2.657 2.093 1.313 Ga
1.320 -1.619 1.313 Ga
3.994 1.619 3.938 Ga
2.657 -2.093 3.938 Ga
3.994 -1.619 1.313 Ga
2.657 0.000 0.000 Fe
2.657 0.000 2.625 Fe
```

---

Arrangement B

Below is crystalline ScGa3Fe at its relaxed geometry, with properties calculated at the PBE-GGA level.

POSCAR file:
```
ScGa3Fe
1.0
5.097 0.000 0.000
0.000 5.097 0.000
0.000 0.000 5.097
Sc Ga Fe
1 3 1
Cartesian
0.000 0.000 0.000 Sc
0.000 0.000 2.548 Ga
0.000 2.548 0.000 Ga
2.548 0.000 0.000 Ga
2.548 2.548 2.548 Fe
```

---

Arrangement C

Below is crystalline ScGa3Fe at its relaxed geometry, with properties calculated at the PBE-GGA level.

POSCAR file:
```
ScGa3Fe
1.0
5.474 0.000 0.000
0.000 8.172 0.000
0.000 0.000 7.433
Sc Ga Fe
4 12 4
Cartesian
1.288 2.043 0.942 Sc
1.449 6.129 4.659 Sc
4.025 2.043 2.775 Sc
4.186 6.129 6.491 Sc
0.686 0.431 6.065 Ga
0.686 3.655 6.065 Ga
1.337 2.043 3.865 Ga
1.399 6.129 0.148 Ga
2.051 4.517 2.348 Ga
2.051 7.741 2.348 Ga
3.422 0.431 5.085 Ga
3.422 3.655 5.085 Ga
4.074 2.043 7.285 Ga
4.136 6.129 3.569 Ga
4.788 4.517 1.368 Ga
4.788 7.741 1.368 Ga
0.000 0.000 3.717 Fe
0.000 4.086 3.717 Fe
2.737 0.000 0.000 Fe
2.737 4.086 0.000 Fe
```

---

Arrangement D

Below is crystalline ScGa3Fe at its relaxed geometry, with properties calculated at the PBE-GGA level.

POSCAR file:
```
ScGa3Fe
1.0
4.490 0.000 0.000
0.000 4.490 0.000
0.000 0.000 4.490
Sc Ga Fe
1 3 1
Cartesian
0.000 0.000 0.000 Sc
0.000 2.245 2.245 Ga
2.245 0.000 2.245 Ga
2.245 2.245 0.000 Ga
2.245 2.245 2.245 Fe
```

---

Stability check: which of them is most stable? arrangement A.

---

Arrangement A

Below is crystalline Sc3GaFe at its relaxed geometry, with properties calculated at the PBE-GGA level.

POSCAR file:
```
Sc3GaFe
1.0
4.764 0.000 0.000
0.000 4.764 0.000
0.000 0.000 4.764
Sc Ga Fe
3 1 1
Cartesian
0.000 0.000 2.382 Sc
0.000 2.382 0.000 Sc
2.382 0.000 0.000 Sc
2.382 2.382 2.382 Ga
0.000 0.000 0.000 Fe
```

---

Arrangement B

Below is crystalline Sc3GaFe at its relaxed geometry, with properties calculated at the PBE-GGA level.

POSCAR file:
```
Sc3GaFe
1.0
4.988 0.000 0.000
0.000 4.988 0.000
0.000 0.000 4.988
Sc Ga Fe
3 1 1
Cartesian
0.000 0.000 2.494 Sc
0.000 2.494 0.000 Sc
2.494 0.000 0.000 Sc
0.000 0.000 0.000 Ga
2.494 2.494 2.494 Fe
```

---

Stability check: which of them is most stable? arrangement A.

---

Arrangement A

Below is crystalline Ga3FeSe at its relaxed geometry, with properties calculated at the PBE-GGA level.

POSCAR file:
```
Ga3FeSe
1.0
5.100 0.000 0.000
0.000 5.100 0.000
0.000 0.000 5.100
Ga Fe Se
3 1 1
Cartesian
0.000 0.000 2.550 Ga
0.000 2.550 0.000 Ga
2.550 0.000 0.000 Ga
2.550 2.550 2.550 Fe
0.000 0.000 0.000 Se
```

---

Arrangement B

Below is crystalline Ga3FeSe at its relaxed geometry, with properties calculated at the PBE-GGA level.

POSCAR file:
```
Ga3FeSe
1.0
4.635 0.000 0.000
0.000 4.635 0.000
0.000 0.000 4.635
Ga Fe Se
3 1 1
Cartesian
0.000 0.000 2.318 Ga
0.000 2.318 0.000 Ga
2.318 0.000 0.000 Ga
0.000 0.000 0.000 Fe
2.318 2.318 2.318 Se
```

---

Stability check: which of them is most stable? arrangement B.

---

Arrangement A

Below is crystalline Ga3FeSi at its relaxed geometry, with properties calculated at the PBE-GGA level.

POSCAR file:
```
Ga3FeSi
1.0
4.595 0.000 0.000
0.000 4.595 0.000
0.000 0.000 4.595
Ga Fe Si
3 1 1
Cartesian
0.000 0.000 2.298 Ga
0.000 2.298 0.000 Ga
2.298 0.000 0.000 Ga
0.000 0.000 0.000 Fe
2.298 2.298 2.298 Si
```

---

Arrangement B

Below is crystalline Ga3FeSi at its relaxed geometry, with properties calculated at the PBE-GGA level.

POSCAR file:
```
Ga3FeSi
1.0
4.635 0.000 0.000
0.000 4.635 0.000
0.000 0.000 4.635
Ga Fe Si
3 1 1
Cartesian
0.000 0.000 2.318 Ga
0.000 2.318 0.000 Ga
2.318 0.000 0.000 Ga
2.318 2.318 2.318 Fe
0.000 0.000 0.000 Si
```

---

Stability check: which of them is most stable? arrangement A.